[1]
Sm2ErRh9 | PBE | optimized geometry

Geometry as CIF:
```
data_Sm2ErRh9
_cell_length_a 9.3627
_cell_length_b 9.3627
_cell_length_c 9.3627
_cell_angle_alpha 32.69
_cell_angle_beta 32.69
_cell_angle_gamma 32.69
_space_group_name_H-M_alt 'P 1'
_space_group_IT_number 1
_space_group_name_Hall 'P 1'
loop_
_atom_site_label
_atom_site_type_symbol
_atom_site_fract_x
_atom_site_fract_y
_atom_site_fract_z
Sm1 Sm 0.1385 0.1385 0.1385
Sm2 Sm 0.8615 0.8615 0.8615
Er1 Er 0.0000 0.0000 0.0000
Rh1 Rh 0.0819 0.5813 0.5813
Rh2 Rh 0.3329 0.3329 0.3329
Rh3 Rh 0.4187 0.4187 0.9181
Rh4 Rh 0.4187 0.9181 0.4187
Rh5 Rh 0.5000 0.5000 0.5000
Rh6 Rh 0.5813 0.0819 0.5813
Rh7 Rh 0.5813 0.5813 0.0819
Rh8 Rh 0.6671 0.6671 0.6671
Rh9 Rh 0.9181 0.4187 0.4187
```

**DOS at the Fermi energy**: 1.00 states/eV per atom
**Formation energy from the elements**: -533 meV/atom

[2]
Sm3ErRh3 | PBE | optimized geometry

Geometry as CIF:
```
data_Sm3ErRh3
_cell_length_a 6.9623
_cell_length_b 6.9623
_cell_length_c 7.0148
_cell_angle_alpha 90.36
_cell_angle_beta 90.36
_cell_angle_gamma 95.71
_space_group_name_H-M_alt 'P 1'
_space_group_IT_number 1
_space_group_name_Hall 'P 1'
loop_
_atom_site_label
_atom_site_type_symbol
_atom_site_fract_x
_atom_site_fract_y
_atom_site_fract_z
Sm1 Sm 0.1815 0.8185 0.0000
Sm2 Sm 0.2536 0.7464 0.5000
Sm3 Sm 0.3263 0.3263 0.1148
Sm4 Sm 0.6737 0.6737 0.8852
Sm5 Sm 0.7464 0.2536 0.5000
Sm6 Sm 0.8185 0.1815 0.0000
Er1 Er 0.2401 0.2401 0.6182
Er2 Er 0.7599 0.7599 0.3818
Rh1 Rh 0.0072 0.5003 0.7698
Rh2 Rh 0.0594 0.0594 0.3018
Rh3 Rh 0.5003 0.0072 0.7698
Rh4 Rh 0.4997 0.9928 0.2302
Rh5 Rh 0.9406 0.9406 0.6982
Rh6 Rh 0.9928 0.4997 0.2302
```

**DOS at the Fermi energy**: 0.64 states/eV per atom
**Formation energy from the elements**: -629 meV/atom

[3]
SmEr3Rh2 | PBE | optimized geometry

Geometry as CIF:
```
data_SmEr3Rh2
_cell_length_a 4.6687
_cell_length_b 8.6810
_cell_length_c 7.1723
_cell_angle_alpha 90.00
_cell_angle_beta 90.00
_cell_angle_gamma 90.00
_space_group_name_H-M_alt 'P 1'
_space_group_IT_number 1
_space_group_name_Hall 'P 1'
loop_
_atom_site_label
_atom_site_type_symbol
_atom_site_fract_x
_atom_site_fract_y
_atom_site_fract_z
Sm1 Sm 0.0000 0.0841 0.0000
Sm2 Sm 0.0000 0.9159 0.5000
Er1 Er 0.0000 0.3337 0.6288
Er2 Er 0.0000 0.6663 0.1288
Er3 Er 0.5000 0.1727 0.3474
Er4 Er 0.5000 0.4173 0.9742
Er5 Er 0.5000 0.5827 0.4742
Er6 Er 0.5000 0.8273 0.8474
Rh1 Rh 0.0000 0.3434 0.2340
Rh2 Rh 0.0000 0.6566 0.7340
Rh3 Rh 0.5000 0.1642 0.7410
Rh4 Rh 0.5000 0.8358 0.2410
```

**DOS at the Fermi energy**: 0.97 states/eV per atom
**Formation energy from the elements**: -667 meV/atom
**Offset from the most stable computed form**: 0.00 kcal/mol of atoms

[4]
SmErRh | PBE | optimized geometry

Geometry as CIF:
```
data_SmErRh
_cell_length_a 4.5599
_cell_length_b 4.5599
_cell_length_c 14.5249
_cell_angle_alpha 90.00
_cell_angle_beta 90.00
_cell_angle_gamma 90.00
_space_group_name_H-M_alt 'P 1'
_space_group_IT_number 1
_space_group_name_Hall 'P 1'
loop_
_atom_site_label
_atom_site_type_symbol
_atom_site_fract_x
_atom_site_fract_y
_atom_site_fract_z
Sm1 Sm 0.0000 0.0000 0.1865
Sm2 Sm 0.0000 0.0000 0.8135
Sm3 Sm 0.5000 0.5000 0.3135
Sm4 Sm 0.5000 0.5000 0.6865
Er1 Er 0.0000 0.5000 0.0000
Er2 Er 0.0000 0.5000 0.5000
Er3 Er 0.5000 0.0000 0.0000
Er4 Er 0.5000 0.0000 0.5000
Rh1 Rh 0.0000 0.0000 0.3750
Rh2 Rh 0.0000 0.0000 0.6250
Rh3 Rh 0.5000 0.5000 0.1250
Rh4 Rh 0.5000 0.5000 0.8750
```

**DOS at the Fermi energy**: 0.97 states/eV per atom
**Formation energy from the elements**: -555 meV/atom
**Offset from the most stable computed form**: 0.00 kcal/mol of atoms

[5]
SmEr3Rh2 | PBE | optimized geometry

Geometry as CIF:
```
data_SmEr3Rh2
_cell_length_a 8.2946
_cell_length_b 8.2946
_cell_length_c 10.6258
_cell_angle_alpha 114.80
_cell_angle_beta 114.80
_cell_angle_gamma 29.68
_space_group_name_H-M_alt 'P 1'
_space_group_IT_number 1
_space_group_name_Hall 'P 1'
loop_
_atom_site_label
_atom_site_type_symbol
_atom_site_fract_x
_atom_site_fract_y
_atom_site_fract_z
Sm1 Sm 0.0555 0.0555 0.2112
Sm2 Sm 0.9445 0.9445 0.7888
Er1 Er 0.2119 0.2119 0.5941
Er2 Er 0.3310 0.3310 0.9719
Er3 Er 0.4262 0.4262 0.3325
Er4 Er 0.5738 0.5738 0.6675
Er5 Er 0.6690 0.6690 0.0281
Er6 Er 0.7881 0.7881 0.4059
Rh1 Rh 0.1384 0.1384 0.8448
Rh2 Rh 0.3817 0.3817 0.5803
Rh3 Rh 0.6183 0.6183 0.4197
Rh4 Rh 0.8616 0.8616 0.1552
```

**DOS at the Fermi energy**: 0.86 states/eV per atom
**Formation energy from the elements**: -598 meV/atom
**Offset from the most stable computed form**: 1.60 kcal/mol of atoms

[6]
SmEr4Rh2 | PBE | optimized geometry

Geometry as CIF:
```
data_SmEr4Rh2
_cell_length_a 7.7488
_cell_length_b 6.3709
_cell_length_c 7.8964
_cell_angle_alpha 90.00
_cell_angle_beta 112.74
_cell_angle_gamma 90.00
_space_group_name_H-M_alt 'P 1'
_space_group_IT_number 1
_space_group_name_Hall 'P 1'
loop_
_atom_site_label
_atom_site_type_symbol
_atom_site_fract_x
_atom_site_fract_y
_atom_site_fract_z
Sm1 Sm 0.0224 0.2500 0.1599
Sm2 Sm 0.9776 0.7500 0.8401
Er1 Er 0.2408 0.5019 0.5886
Er2 Er 0.2408 0.9981 0.5886
Er3 Er 0.3361 0.7500 0.2524
Er4 Er 0.3846 0.2500 0.0158
Er5 Er 0.6154 0.7500 0.9842
Er6 Er 0.6639 0.2500 0.7476
Er7 Er 0.7592 0.0019 0.4114
Er8 Er 0.7592 0.4981 0.4114
Rh1 Rh 0.0106 0.2500 0.7336
Rh2 Rh 0.4125 0.2500 0.3725
Rh3 Rh 0.5875 0.7500 0.6275
Rh4 Rh 0.9894 0.7500 0.2664
```

**DOS at the Fermi energy**: 1.14 states/eV per atom
**Formation energy from the elements**: -497 meV/atom

[7]
Sm2Er2Rh3 | PBE | optimized geometry

Geometry as CIF:
```
data_Sm2Er2Rh3
_cell_length_a 8.3090
_cell_length_b 4.7910
_cell_length_c 8.5683
_cell_angle_alpha 90.00
_cell_angle_beta 108.77
_cell_angle_gamma 90.00
_space_group_name_H-M_alt 'P 1'
_space_group_IT_number 1
_space_group_name_Hall 'P 1'
loop_
_atom_site_label
_atom_site_type_symbol
_atom_site_fract_x
_atom_site_fract_y
_atom_site_fract_z
Sm1 Sm 0.1235 0.0000 0.3714
Sm2 Sm 0.3765 0.5000 0.6286
Sm3 Sm 0.6235 0.5000 0.3714
Sm4 Sm 0.8765 0.0000 0.6286
Er1 Er 0.1265 0.5000 0.8785
Er2 Er 0.3735 0.0000 0.1215
Er3 Er 0.6265 0.0000 0.8785
Er4 Er 0.8735 0.5000 0.1215
Rh1 Rh 0.0000 0.0000 0.0000
Rh2 Rh 0.2468 0.5000 0.2399
Rh3 Rh 0.2532 0.0000 0.7601
Rh4 Rh 0.5000 0.5000 0.0000
Rh5 Rh 0.7468 0.0000 0.2399
Rh6 Rh 0.7532 0.5000 0.7601
```

**DOS at the Fermi energy**: 0.45 states/eV per atom
**Formation energy from the elements**: -765 meV/atom
**Offset from the most stable computed form**: 0.00 kcal/mol of atoms

[8]
Sm3ErRh4 | PBE | optimized geometry

Geometry as CIF:
```
data_Sm3ErRh4
_cell_length_a 3.4231
_cell_length_b 3.4231
_cell_length_c 14.3194
_cell_angle_alpha 90.00
_cell_angle_beta 90.00
_cell_angle_gamma 90.00
_space_group_name_H-M_alt 'P 1'
_space_group_IT_number 1
_space_group_name_Hall 'P 1'
loop_
_atom_site_label
_atom_site_type_symbol
_atom_site_fract_x
_atom_site_fract_y
_atom_site_fract_z
Sm1 Sm 0.0000 0.0000 0.0000
Sm2 Sm 0.0000 0.0000 0.2534
Sm3 Sm 0.0000 0.0000 0.7466
Er1 Er 0.0000 0.0000 0.5000
Rh1 Rh 0.5000 0.5000 0.1270
Rh2 Rh 0.5000 0.5000 0.3823
Rh3 Rh 0.5000 0.5000 0.6177
Rh4 Rh 0.5000 0.5000 0.8730
```

**DOS at the Fermi energy**: 0.67 states/eV per atom
**Formation energy from the elements**: -759 meV/atom

[9]
Sm2Er5Rh4 | PBE | optimized geometry

Geometry as CIF:
```
data_Sm2Er5Rh4
_cell_length_a 12.1411
_cell_length_b 12.1411
_cell_length_c 6.8340
_cell_angle_alpha 92.91
_cell_angle_beta 92.91
_cell_angle_gamma 16.75
_space_group_name_H-M_alt 'P 1'
_space_group_IT_number 1
_space_group_name_Hall 'P 1'
loop_
_atom_site_label
_atom_site_type_symbol
_atom_site_fract_x
_atom_site_fract_y
_atom_site_fract_z
Sm1 Sm 0.0869 0.0869 0.1579
Sm2 Sm 0.9131 0.9131 0.8421
Er1 Er 0.1340 0.1340 0.6786
Er2 Er 0.2330 0.2330 0.2201
Er3 Er 0.5000 0.5000 0.5000
Er4 Er 0.7670 0.7670 0.7799
Er5 Er 0.8660 0.8660 0.3214
Rh1 Rh 0.0281 0.0281 0.8000
Rh2 Rh 0.3306 0.3306 0.0216
Rh3 Rh 0.6694 0.6694 0.9784
Rh4 Rh 0.9719 0.9719 0.2000
```

**DOS at the Fermi energy**: 0.78 states/eV per atom
**Formation energy from the elements**: -436 meV/atom

[10]
SmErRh | PBE | optimized geometry

Geometry as CIF:
```
data_SmErRh
_cell_length_a 6.8402
_cell_length_b 6.8402
_cell_length_c 6.8402
_cell_angle_alpha 90.00
_cell_angle_beta 90.00
_cell_angle_gamma 90.00
_space_group_name_H-M_alt 'P 1'
_space_group_IT_number 1
_space_group_name_Hall 'P 1'
loop_
_atom_site_label
_atom_site_type_symbol
_atom_site_fract_x
_atom_site_fract_y
_atom_site_fract_z
Sm1 Sm 0.0000 0.0000 0.0000
Sm2 Sm 0.0000 0.5000 0.5000
Sm3 Sm 0.5000 0.0000 0.5000
Sm4 Sm 0.5000 0.5000 0.0000
Er1 Er 0.0000 0.0000 0.5000
Er2 Er 0.0000 0.5000 0.0000
Er3 Er 0.5000 0.0000 0.0000
Er4 Er 0.5000 0.5000 0.5000
Rh1 Rh 0.2500 0.2500 0.2500
Rh2 Rh 0.2500 0.7500 0.7500
Rh3 Rh 0.7500 0.2500 0.7500
Rh4 Rh 0.7500 0.7500 0.2500
```

**DOS at the Fermi energy**: 1.04 states/eV per atom
**Formation energy from the elements**: -552 meV/atom
**Offset from the most stable computed form**: 0.07 kcal/mol of atoms

[11]
Sm2Er2Rh15 | PBE | optimized geometry

Geometry as CIF:
```
data_Sm2Er2Rh15
_cell_length_a 6.9286
_cell_length_b 6.9286
_cell_length_c 6.9286
_cell_angle_alpha 82.34
_cell_angle_beta 82.34
_cell_angle_gamma 82.34
_space_group_name_H-M_alt 'P 1'
_space_group_IT_number 1
_space_group_name_Hall 'P 1'
loop_
_atom_site_label
_atom_site_type_symbol
_atom_site_fract_x
_atom_site_fract_y
_atom_site_fract_z
Sm1 Sm 0.1413 0.1413 0.1413
Sm2 Sm 0.8587 0.8587 0.8587
Er1 Er 0.3910 0.3910 0.3910
Er2 Er 0.6090 0.6090 0.6090
Rh1 Rh 0.0000 0.5000 0.5000
Rh2 Rh 0.1498 0.1498 0.6592
Rh3 Rh 0.1498 0.6592 0.1498
Rh4 Rh 0.1941 0.5000 0.8059
Rh5 Rh 0.1941 0.8059 0.5000
Rh6 Rh 0.3408 0.8502 0.8502
Rh7 Rh 0.5000 0.0000 0.5000
Rh8 Rh 0.5000 0.1941 0.8059
Rh9 Rh 0.5000 0.5000 0.0000
Rh10 Rh 0.5000 0.8059 0.1941
Rh11 Rh 0.6592 0.1498 0.1498
Rh12 Rh 0.8059 0.1941 0.5000
Rh13 Rh 0.8059 0.5000 0.1941
Rh14 Rh 0.8502 0.3408 0.8502
Rh15 Rh 0.8502 0.8502 0.3408
```

**DOS at the Fermi energy**: 1.42 states/eV per atom
**Formation energy from the elements**: -374 meV/atom

Which value of DOS at the Fermi energy does entry 2 give? 0.64 states/eV per atom

formation energy from the elements of number 4 (SmErRh)? -555 meV/atom

Which value of formation energy from the elements does entry 7 give? -765 meV/atom